DFT (PBE) results for a relaxed structure of LiIn3Sn2.

Summary:
As for the crystal system: orthorhombic.

```
data_LiIn3Sn2
_chemical_formula_sum 'Li2 In6 Sn4'
_space_group_name_H-M_alt 'C m m m'
_space_group_IT_number 65
_space_group_name_Hall '-C 2 2'
_cell_length_a 5.011
_cell_length_b 13.684
_cell_length_c 4.455
_cell_angle_alpha 90.00
_cell_angle_beta 90.00
_cell_angle_gamma 90.00
loop_
_atom_site_label
_atom_site_type_symbol
_atom_site_fract_x
_atom_site_fract_y
_atom_site_fract_z
Li1 Li 0.000 0.000 0.000
In1 In 0.000 0.158 0.500
In2 In 0.000 0.500 0.500
Sn1 Sn 0.000 0.334 0.000
```


DFT (PBE) results for a relaxed structure of In2Pd7Pb.

Summary:
As for the crystal system: orthorhombic.

```
data_In2Pd7Pb
_chemical_formula_sum 'In4 Pd14 Pb2'
_space_group_name_H-M_alt 'C m m m'
_space_group_IT_number 65
_space_group_name_Hall '-C 2 2'
_cell_length_a 7.386
_cell_length_b 13.739
_cell_length_c 4.344
_cell_angle_alpha 90.00
_cell_angle_beta 90.00
_cell_angle_gamma 90.00
loop_
_atom_site_label
_atom_site_type_symbol
_atom_site_fract_x
_atom_site_fract_y
_atom_site_fract_z
In1 In 0.000 0.198 0.000
Pd1 Pd 0.000 0.000 0.000
Pd2 Pd 0.000 0.305 0.500
Pd3 Pd 0.184 0.395 0.000
Pb1 Pb 0.000 0.500 0.500
```


| no. | formation energy from the elements (eV/atom) |
| --- | --- |
| 1 | -0.058 |
| 2 | 0.042 |